(1)
{"formula": "Tb3Pm2Ge4", "functional": "PBE-GGA", "state": "relaxed", "cell": [[-3.090, -6.866, 1.612], [5.045, 2.394, 5.754], [-5.966, 3.565, 3.748]], "species": ["Ge", "Tb", "Tb", "Tb", "Pm", "Ge", "Pm", "Tb", "Ge", "Ge", "Tb", "Ge", "Tb", "Ge", "Pm", "Pm", "Ge", "Ge"], "fractional_positions": [[0.628, 0.507, 0.630], [0.769, 0.762, 0.336], [0.000, 0.500, 0.500], [0.500, 0.500, 0.000], [0.935, 0.802, 0.819], [0.872, 0.493, 0.130], [0.065, 0.198, 0.181], [0.731, 0.238, 0.836], [0.330, 0.088, 0.963], [0.128, 0.507, 0.870], [0.269, 0.762, 0.164], [0.170, 0.912, 0.463], [0.231, 0.238, 0.664], [0.830, 0.088, 0.537], [0.435, 0.802, 0.681], [0.565, 0.198, 0.319], [0.372, 0.493, 0.370], [0.670, 0.912, 0.037]], "magmom_total_mub_per_cell": 0.00, "e_form_mev_per_atom": -869, "density_g_cm3": 7.7, "dos_at_fermi_per_ev_atom": 0.6600, "volume_a3_per_fu": 226.6, "de_polymorph_mev_per_atom": 0}


(2)
{"formula": "Tb2PmGe4", "functional": "PBE-GGA", "state": "relaxed", "cell": [[-1.420, -0.291, -3.780], [0.793, -4.230, 0.028], [-8.122, 0.702, 5.164]], "species": ["Ge", "Pm", "Ge", "Ge", "Ge", "Tb", "Tb"], "fractional_positions": [[0.067, 0.567, 0.135], [0.500, 0.000, 0.000], [0.933, 0.433, 0.865], [0.341, 0.341, 0.682], [0.659, 0.659, 0.318], [0.181, 0.181, 0.362], [0.819, 0.819, 0.638]], "magmom_total_mub_per_cell": 0.00, "e_form_mev_per_atom": -762, "density_g_cm3": 7.8, "dos_at_fermi_per_ev_atom": 0.3598, "volume_a3_per_fu": 160.1}


(3)
{"formula": "TbPmGe4", "functional": "PBE-GGA", "state": "relaxed", "cell": [[-3.618, 1.469, 1.245], [-3.400, -8.266, -0.129], [4.240, -1.974, 14.652]], "species": ["Pm", "Ge", "Ge", "Ge", "Ge", "Tb", "Ge", "Ge", "Tb", "Ge", "Tb", "Pm", "Ge", "Pm", "Tb", "Ge", "Ge", "Pm", "Ge", "Ge", "Ge", "Ge", "Ge", "Ge"], "fractional_positions": [[0.000, 0.896, 0.869], [0.500, 0.867, 0.026], [0.500, 0.938, 0.718], [0.500, 0.367, 0.474], [0.500, 0.562, 0.218], [0.000, 0.860, 0.586], [0.500, 0.625, 0.925], [0.500, 0.438, 0.782], [0.000, 0.640, 0.086], [0.500, 0.875, 0.425], [0.000, 0.360, 0.914], [0.000, 0.604, 0.369], [0.500, 0.062, 0.282], [0.000, 0.396, 0.631], [0.000, 0.140, 0.414], [0.500, 0.665, 0.689], [0.500, 0.125, 0.575], [0.000, 0.104, 0.131], [0.500, 0.335, 0.311], [0.500, 0.375, 0.075], [0.500, 0.835, 0.189], [0.500, 0.633, 0.526], [0.500, 0.133, 0.974], [0.500, 0.165, 0.811]], "magmom_total_mub_per_cell": 0.00, "e_form_mev_per_atom": -486, "density_g_cm3": 7.0, "dos_at_fermi_per_ev_atom": 0.2268, "volume_a3_per_fu": 140.9, "de_polymorph_mev_per_atom": 0}


(4)
{"formula": "TbPmGe", "functional": "PBE-GGA", "state": "relaxed", "cell": [[4.968, 0.000, 0.000], [2.484, 4.302, 0.000], [2.484, 1.434, 4.056]], "species": ["Ge", "Tb", "Pm"], "fractional_positions": [[0.250, 0.250, 0.250], [0.000, 0.000, 0.000], [0.500, 0.500, 0.500]], "magmom_total_mub_per_cell": 0.00, "e_form_mev_per_atom": -539, "density_g_cm3": 7.2, "dos_at_fermi_per_ev_atom": 0.8809, "volume_a3_per_fu": 86.7, "de_polymorph_mev_per_atom": 57}


(5)
{"formula": "Tb2PmGe2", "functional": "PBE-GGA", "state": "relaxed", "cell": [[4.170, 0.000, 0.000], [0.000, 7.789, 0.000], [0.000, 0.000, 7.789]], "species": ["Ge", "Pm", "Tb", "Pm", "Tb", "Ge", "Tb", "Ge", "Tb", "Ge"], "fractional_positions": [[0.500, 0.376, 0.376], [0.500, 0.000, 0.500], [0.000, 0.672, 0.328], [0.500, 0.500, 0.000], [0.000, 0.828, 0.828], [0.500, 0.624, 0.624], [0.000, 0.328, 0.672], [0.500, 0.876, 0.124], [0.000, 0.172, 0.172], [0.500, 0.124, 0.876]], "magmom_total_mub_per_cell": 0.00, "e_form_mev_per_atom": -736, "density_g_cm3": 8.0, "dos_at_fermi_per_ev_atom": 1.0239, "volume_a3_per_fu": 126.5, "de_polymorph_mev_per_atom": 0}


(6)
{"formula": "TbPmGe", "functional": "PBE-GGA", "state": "relaxed", "cell": [[4.336, 0.000, 0.000], [-2.168, 5.976, 0.000], [0.000, 0.000, 6.358]], "species": ["Ge", "Tb", "Pm", "Pm", "Ge", "Tb"], "fractional_positions": [[0.127, 0.254, 0.250], [0.792, 0.584, 0.250], [0.500, 0.000, 0.500], [0.500, 0.000, 0.000], [0.873, 0.746, 0.750], [0.208, 0.416, 0.750]], "magmom_total_mub_per_cell": 0.00, "e_form_mev_per_atom": -596, "density_g_cm3": 7.6, "dos_at_fermi_per_ev_atom": 0.8555, "volume_a3_per_fu": 82.4, "de_polymorph_mev_per_atom": 0}


(7)
{"formula": "Tb4Pm3Ge4", "functional": "PBE-GGA", "state": "relaxed", "cell": [[-2.427, -0.430, -3.178], [3.869, -7.614, -1.924], [-6.270, -0.007, 7.334]], "species": ["Tb", "Tb", "Pm", "Ge", "Pm", "Ge", "Pm", "Ge", "Tb", "Ge", "Tb"], "fractional_positions": [[0.672, 0.487, 0.343], [0.328, 0.513, 0.657], [0.099, 0.099, 0.198], [0.500, 0.224, 0.000], [0.901, 0.901, 0.802], [0.735, 0.235, 0.470], [0.000, 0.500, 0.000], [0.500, 0.776, 0.000], [0.672, 0.856, 0.343], [0.265, 0.765, 0.530], [0.328, 0.144, 0.657]], "magmom_total_mub_per_cell": 1.20, "e_form_mev_per_atom": -624, "density_g_cm3": 7.7, "dos_at_fermi_per_ev_atom": 1.0430, "volume_a3_per_fu": 294.4}


(8)
{"formula": "Tb2Pm2Ge", "functional": "PBE-GGA", "state": "relaxed", "cell": [[4.214, 0.000, 0.000], [0.000, 4.214, 0.000], [-2.107, -2.107, 8.937]], "species": ["Pm", "Pm", "Ge", "Tb", "Tb"], "fractional_positions": [[0.417, 0.417, 0.834], [0.583, 0.583, 0.166], [0.000, 0.000, 0.000], [0.250, 0.750, 0.500], [0.750, 0.250, 0.500]], "magmom_total_mub_per_cell": 0.00, "e_form_mev_per_atom": 231, "density_g_cm3": 7.1, "dos_at_fermi_per_ev_atom": 0.9697, "volume_a3_per_fu": 158.7}


(9)
{"formula": "Tb3Pm3Ge4", "functional": "PBE-GGA", "state": "relaxed", "cell": [[4.337, 0.000, 0.000], [0.000, 7.698, -0.029], [0.000, 0.039, 7.698]], "species": ["Pm", "Ge", "Pm", "Tb", "Tb", "Ge", "Ge", "Tb", "Ge", "Pm"], "fractional_positions": [[0.500, 0.827, 0.173], [0.000, 0.124, 0.119], [0.500, 0.324, 0.327], [0.000, 0.000, 0.499], [0.000, 0.501, 0.000], [0.000, 0.374, 0.626], [0.000, 0.622, 0.378], [0.500, 0.174, 0.826], [0.000, 0.881, 0.876], [0.500, 0.673, 0.676]], "magmom_total_mub_per_cell": 0.00, "e_form_mev_per_atom": -778, "density_g_cm3": 7.8, "dos_at_fermi_per_ev_atom": 0.9567, "volume_a3_per_fu": 257.0}


(10)
{"formula": "Tb3PmGe2", "functional": "PBE-GGA", "state": "relaxed", "cell": [[-2.834, -1.784, -2.787], [8.894, -2.247, -4.199], [-3.996, -4.653, 7.040]], "species": ["Tb", "Tb", "Tb", "Pm", "Pm", "Ge", "Tb", "Ge", "Tb", "Tb", "Ge", "Ge"], "fractional_positions": [[0.691, 0.383, 0.499], [0.309, 0.617, 0.501], [0.652, 0.303, 0.824], [0.885, 0.770, 0.902], [0.115, 0.230, 0.098], [0.490, 0.981, 0.847], [0.348, 0.697, 0.176], [0.239, 0.477, 0.764], [0.049, 0.098, 0.402], [0.951, 0.902, 0.598], [0.510, 0.019, 0.153], [0.761, 0.523, 0.236]], "magmom_total_mub_per_cell": 0.00, "e_form_mev_per_atom": -583, "density_g_cm3": 7.9, "dos_at_fermi_per_ev_atom": 0.9451, "volume_a3_per_fu": 161.1}


(11)
{"formula": "TbPm3Ge3", "functional": "PBE-GGA", "state": "relaxed", "cell": [[-3.852, -4.536, 6.557], [2.351, -8.395, 1.553], [3.752, -2.415, 6.513]], "species": ["Pm", "Ge", "Tb", "Pm", "Tb", "Pm", "Ge", "Ge", "Ge", "Pm", "Pm", "Pm", "Ge", "Ge"], "fractional_positions": [[0.105, 0.370, 0.719], [0.706, 0.448, 0.779], [0.330, 0.330, 0.009], [0.193, 0.895, 0.281], [0.670, 0.670, 0.991], [0.895, 0.630, 0.281], [0.066, 0.706, 0.779], [0.552, 0.934, 0.221], [0.294, 0.552, 0.221], [0.630, 0.193, 0.281], [0.807, 0.105, 0.719], [0.370, 0.807, 0.719], [0.448, 0.066, 0.779], [0.934, 0.294, 0.221]], "magmom_total_mub_per_cell": 0.00, "e_form_mev_per_atom": -684, "density_g_cm3": 6.6, "dos_at_fermi_per_ev_atom": 0.3586, "volume_a3_per_fu": 204.3}


(12)
{"formula": "Tb2PmGe3", "functional": "PBE-GGA", "state": "relaxed", "cell": [[4.218, 0.000, 0.000], [0.000, 5.932, 0.000], [-2.109, -2.966, 6.265]], "species": ["Pm", "Tb", "Tb", "Ge", "Ge", "Ge"], "fractional_positions": [[0.000, 0.500, 0.000], [0.665, 0.165, 0.331], [0.335, 0.835, 0.669], [0.000, 0.000, 0.000], [0.329, 0.329, 0.659], [0.671, 0.671, 0.341]], "magmom_total_mub_per_cell": 0.00, "e_form_mev_per_atom": -662, "density_g_cm3": 7.2, "dos_at_fermi_per_ev_atom": 0.7786, "volume_a3_per_fu": 156.8}